Computed, not measured: a geometry-optimized Nb2AuO structure at the PBE-GGA level of DFT.

The structure in POSCAR format:
```
Nb2AuO
1.0
1.724 0.995 6.131
-1.724 0.995 6.131
0.000 -1.990 6.131
Nb Au O
2 1 1
Cartesian
0.000 0.000 4.018 Nb
0.000 0.000 14.375 Nb
0.000 0.000 0.000 Au
0.000 0.000 9.196 O
```

The value obtained for the formation energy from raw total energies is -0.72 eV per atom. The symmetry is R-3m. As for the raw total energy: -7.81 eV/atom. The volume is 63.11 Å³ per cell.



Computed, not measured: a geometry-optimized CaBeAs2 structure at the PBE-GGA level of DFT.

The structure in POSCAR format:
```
CaBeAs2
1.0
4.432 0.000 0.000
0.000 4.012 0.000
-0.735 0.000 5.200
Ca Be As
1 1 2
Cartesian
0.000 0.000 0.000 Ca
2.115 2.006 1.663 Be
1.493 2.006 4.700 As
1.934 0.000 2.501 As
```

The symmetry is Pm. As for the raw total energy: -4.06 eV/atom. The volume is 92.46 Å³ per cell.



Computed, not measured: a geometry-optimized CaRe4Au structure at the PBE-GGA level of DFT.

The structure in POSCAR format:
```
CaRe4Au
1.0
0.000 3.759 3.759
3.759 0.000 3.759
3.759 3.759 0.000
Ca Re Au
1 4 1
Cartesian
0.000 0.000 0.000 Ca
4.691 2.827 2.827 Re
2.827 4.691 2.827 Re
2.827 2.827 4.691 Re
4.691 4.691 4.691 Re
1.879 1.879 1.879 Au
```

The symmetry is F-43m. As for the raw total energy: -8.74 eV/atom. The volume is 106.23 Å³ per cell.